Record 1
VASP calculation (GGA-PBE) on a relaxed Li2Ho3In5 crystal.

Geometry as extended XYZ:
```
20
Lattice="10.303 0.000 0.000 0.000 10.303 0.000 0.000 0.000 4.384" Properties=species:S:1:pos:R:3 pbc="T T T"
Li 1.239 3.913 0.000
Li 3.913 9.065 0.000
Li 6.391 1.239 0.000
Li 9.065 6.391 0.000
Ho 0.000 0.000 0.000
Ho 1.796 6.948 0.000
Ho 3.356 1.796 0.000
Ho 5.152 5.152 0.000
Ho 6.948 8.508 0.000
Ho 8.508 3.356 0.000
In 0.000 5.152 2.192
In 0.772 2.178 2.192
In 2.178 9.532 2.192
In 2.973 4.380 2.192
In 4.380 7.330 2.192
In 5.152 0.000 2.192
In 5.924 2.973 2.192
In 7.330 5.924 2.192
In 8.125 0.772 2.192
In 9.532 8.125 2.192
```

## Properties
Calculated total energy (eV/atom): -3.489
Crystal system: tetragonal
Formation enthalpy at 0 K (eV/atom): -0.363


Record 2
VASP calculation (GGA-PBE) on a relaxed KU2PdSe4 crystal.

Geometry as extended XYZ:
```
16
Lattice="2.073 -7.022 0.000 2.073 7.022 0.000 0.000 0.000 14.447" Properties=species:S:1:pos:R:3 pbc="T T T"
K 2.073 5.394 10.835
K 2.073 -5.394 3.612
U 2.073 1.865 8.206
U 2.073 1.865 13.465
U 2.073 -1.865 0.982
U 2.073 -1.865 6.241
Pd 2.073 4.748 3.612
Pd 2.073 -4.748 10.835
Se 0.000 0.000 0.000
Se 0.000 0.000 7.224
Se 2.073 3.252 1.537
Se 2.073 3.252 5.687
Se 2.073 0.798 10.835
Se 2.073 -0.798 3.612
Se 2.073 -3.252 8.761
Se 2.073 -3.252 12.910
```

## Properties
Uncorrected formation energy (meV per atom): -1078
Calculated total energy (eV/atom): -6.429
Crystal system: orthorhombic


Record 3
VASP calculation (GGA-PBE) on a relaxed Al2CdIn2 crystal.

Geometry as extended XYZ:
```
10
Lattice="7.358 0.000 0.000 0.000 7.358 0.000 0.000 0.000 4.255" Properties=species:S:1:pos:R:3 pbc="T T T"
Al 0.939 2.740 0.000
Al 2.740 6.419 0.000
Al 4.618 0.939 0.000
Al 6.419 4.618 0.000
Cd 0.000 0.000 0.000
Cd 3.679 3.679 0.000
In 1.299 4.978 2.128
In 2.379 1.299 2.128
In 4.978 6.058 2.128
In 6.058 2.379 2.128
```

## Properties
Calculated total energy (eV/atom): -2.626
Crystal system: tetragonal
Formation enthalpy at 0 K (eV/atom): 0.149


Record 4
VASP calculation (GGA-PBE) on a relaxed YCrCl2 crystal.

Geometry as extended XYZ:
```
4
Lattice="3.397 0.000 0.000 0.000 4.328 0.000 0.000 0.000 5.927" Properties=species:S:1:pos:R:3 pbc="T T T"
Y 0.000 0.000 0.000
Cr 1.698 0.000 2.964
Cl 0.000 2.164 2.964
Cl 1.698 2.164 0.000
```

## Properties
Uncorrected formation energy (meV per atom): -582
Calculated total energy (eV/atom): -5.527
Crystal system: orthorhombic


What are the spin magnetization values for these records? In order: 0.0 5.0 0.0 4.2 μB/f.u..